Entry 1:
## Ba2ZrTc (GGA-PBE)

Data for Ba2ZrTc after structural relaxation.

a b c (Å): 3.7971 3.6895 10.2873
angles (deg): 74.45 90.00 90.00
Closest atoms and distances in Å follow each position.
Atoms (fractional coordinates):
1 Ba 0.0000 0.0640 0.9295  1 Tc 3.43, 4 Ba 3.69-3.80, 4 Zr 3.74-3.78
2 Ba 0.5000 0.3151 0.3268  2 Tc 3.28, 1 Zr 3.48
3 Tc 0.0000 0.3468 0.5835  4 Zr 2.72-2.79
4 Zr 0.5000 0.7741 0.6602  4 Tc 2.72-2.79

## Properties
Space-group type = Pm (6)
Final energy = -5.34 eV/atom
Crystal system = monoclinic
ΔH_f (0 K) = 0.35 eV per atom
V = 138.84 Å³ per cell
Energy above the most stable polymorph in this dataset = 0.96 kJ/mol of atoms
Fermi-level density of states = 1.5338 states/eV/atom

---

Entry 2:
## BaZr2Tc (GGA-PBE)

Data for BaZr2Tc after structural relaxation.

a b c (Å): 5.7983 5.7983 5.7983
angles (deg): 135.84 135.84 64.23
Closest atoms and distances in Å follow each position.
Atoms (fractional coordinates):
1 Ba 0.5000 0.5000 0.0000  8 Zr 3.08-3.28, 4 Tc 3.28
2 Tc 0.7500 0.2500 0.5000  8 Zr 3.08-3.28, 4 Ba 3.28
3 Zr 0.0000 0.0000 0.0000  4 Ba 3.08, 4 Zr 3.28, 4 Tc 3.28
4 Zr 0.2500 0.7500 0.5000  4 Tc 3.08, 4 Ba 3.28, 4 Zr 3.28

## Properties
Space-group type = I-4m2 (119)
Final energy = -6.50 eV/atom
Crystal system = tetragonal
ΔH_f (0 K) = 0.85 eV per atom
V = 93.33 Å³ per cell
Energy above the most stable polymorph in this dataset = 71.92 kJ/mol of atoms
Fermi-level density of states = 1.4106 states/eV/atom

---

Entry 3:
## BaZr2Tc (GGA-PBE)

Data for BaZr2Tc after structural relaxation.

a b c (Å): 10.5466 10.5466 10.5466
angles (deg): 18.17 18.17 18.17
Closest atoms and distances in Å follow each position.
Atoms (fractional coordinates):
1 Ba 0.4877 0.4877 0.4877  3 Tc 3.20, 6 Ba 3.33
2 Tc 0.7388 0.7388 0.7388  3 Zr 2.71
3 Zr 0.0107 0.0107 0.0107  3 Tc 2.71
4 Zr 0.2628 0.2628 0.2628  9 Zr 3.18-3.33

## Properties
Space-group type = R3m (160)
Final energy = -6.83 eV/atom
Crystal system = trigonal
ΔH_f (0 K) = 0.52 eV per atom
V = 99.61 Å³ per cell
Energy above the most stable polymorph in this dataset = 40.28 kJ/mol of atoms
Fermi-level density of states = 1.2154 states/eV/atom

---

Entry 4:
## Ba2ZrTc (GGA-PBE)

Data for Ba2ZrTc after structural relaxation.

a b c (Å): 3.4304 3.4304 10.6161
angles (deg): 90.00 90.00 90.00
Closest atoms and distances in Å follow each position.
Atoms (fractional coordinates):
1 Ba 0.0000 0.0000 0.0364  4 Tc 3.32, 4 Ba 3.43
2 Ba 0.0000 0.0000 0.4636  4 Tc 3.32, 4 Ba 3.43
3 Tc 0.5000 0.5000 0.2500  8 Ba 3.32, 4 Tc 3.43
4 Zr 0.5000 0.5000 0.7500  4 Zr 3.43

## Properties
Space-group type = P4/mmm (123)
Final energy = -4.61 eV/atom
Crystal system = tetragonal
ΔH_f (0 K) = 1.08 eV per atom
V = 124.93 Å³ per cell
Energy above the most stable polymorph in this dataset = 71.38 kJ/mol of atoms
Fermi-level density of states = 1.4066 states/eV/atom

---

Entry 5:
## BaZrTc2 (GGA-PBE)

Data for BaZrTc2 after structural relaxation.

a b c (Å): 3.3587 5.3105 4.5571
angles (deg): 90.00 90.00 90.00
Closest atoms and distances in Å follow each position.
Atoms (fractional coordinates):
1 Ba 0.0000 0.5000 0.5000  4 Tc 2.83, 4 Zr 3.14
2 Tc 0.0000 0.0000 0.0000  4 Zr 2.83, 4 Tc 3.14
3 Tc 0.5000 0.5000 0.0000  4 Ba 2.83, 4 Tc 3.14
4 Zr 0.5000 0.0000 0.5000  4 Tc 2.83, 4 Ba 3.14

## Properties
Space-group type = Pmmm (47)
Final energy = -6.83 eV/atom
Crystal system = orthorhombic
ΔH_f (0 K) = 0.97 eV per atom
V = 81.28 Å³ per cell
Energy above the most stable polymorph in this dataset = 63.11 kJ/mol of atoms
Fermi-level density of states = 1.0108 states/eV/atom

---

Entry 6:
## BaZr2Tc (GGA-PBE)

Data for BaZr2Tc after structural relaxation.

a b c (Å): 5.8367 5.8367 9.3094
angles (deg): 71.73 71.73 90.00
Closest atoms and distances in Å follow each position.
Atoms (fractional coordinates):
1 Ba 0.0000 0.0000 0.0000  8 Zr 3.87, 4 Tc 4.13
2 Ba 0.7500 0.2500 0.5000  8 Zr 3.87, 4 Tc 4.13
3 Zr 0.3750 0.1250 0.2500  2 Tc 2.55
4 Zr 0.3750 0.6250 0.2500  2 Tc 2.55
5 Zr 0.3750 0.6250 0.7500  2 Tc 2.55
6 Zr 0.8750 0.6250 0.7500  2 Tc 2.55
7 Tc 0.5000 0.5000 0.0000  4 Zr 2.55
8 Tc 0.2500 0.7500 0.5000  4 Zr 2.55

## Properties
Space-group type = I4_1/amd (141)
Final energy = -6.36 eV/atom
Crystal system = tetragonal
ΔH_f (0 K) = 0.98 eV per atom
V = 284.28 Å³ per cell
Energy above the most stable polymorph in this dataset = 85.04 kJ/mol of atoms
Fermi-level density of states = 1.5956 states/eV/atom

---

Entry 7:
## BaZr2Tc (GGA-PBE)

Data for BaZr2Tc after structural relaxation.

a b c (Å): 5.1133 5.1133 5.1133
angles (deg): 60.00 60.00 60.00
Closest atoms and distances in Å follow each position.
Atoms (fractional coordinates):
1 Ba 0.5000 0.5000 0.5000  4 Tc 3.13, 4 Zr 3.13
2 Tc 0.7500 0.7500 0.7500  4 Zr 3.13, 4 Ba 3.13
3 Zr 0.0000 0.0000 0.0000  4 Zr 3.13, 4 Tc 3.13
4 Zr 0.2500 0.2500 0.2500  4 Ba 3.13, 4 Zr 3.13

## Properties
Space-group type = F-43m (216)
Final energy = -6.56 eV/atom
Crystal system = cubic
ΔH_f (0 K) = 0.79 eV per atom
V = 94.54 Å³ per cell
Energy above the most stable polymorph in this dataset = 66.69 kJ/mol of atoms
Fermi-level density of states = 1.1956 states/eV/atom

---

Entry 8:
## Ba2ZrTc (GGA-PBE)

Data for Ba2ZrTc after structural relaxation.

a b c (Å): 9.9712 9.9712 4.2698
angles (deg): 77.66 77.66 20.06
Closest atoms and distances in Å follow each position.
Atoms (fractional coordinates):
1 Ba 0.8993 0.8993 0.1010  2 Tc 3.35, 2 Ba 3.47, 2 Zr 3.57
2 Ba 0.6007 0.6007 0.3990  2 Tc 3.35, 2 Ba 3.47, 2 Zr 3.57
3 Tc 0.2500 0.2500 0.2500  4 Zr 2.75
4 Zr 0.7500 0.7500 0.7500  4 Tc 2.75

## Properties
Space-group type = Immm (71)
Final energy = -5.27 eV/atom
Crystal system = orthorhombic
ΔH_f (0 K) = 0.42 eV per atom
V = 142.13 Å³ per cell
Energy above the most stable polymorph in this dataset = 7.34 kJ/mol of atoms
Fermi-level density of states = 1.4371 states/eV/atom

---

Entry 9:
## BaZr2Tc (GGA-PBE)

Data for BaZr2Tc after structural relaxation.

a b c (Å): 3.7152 3.7090 8.8321
angles (deg): 65.27 90.00 90.00
Closest atoms and distances in Å follow each position.
Atoms (fractional coordinates):
1 Ba 0.0000 0.4780 0.5229  5 Zr 3.50-3.86, 4 Tc 3.69-3.70, 4 Ba 3.71-3.72
2 Tc 0.5000 0.6522 0.8472  5 Zr 2.59-2.78
3 Zr 0.0000 0.0399 0.9597  4 Tc 2.77-2.78
4 Zr 0.5000 0.3299 0.1702  1 Tc 2.59

## Properties
Space-group type = Pm (6)
Final energy = -7.03 eV/atom
Crystal system = monoclinic
ΔH_f (0 K) = 0.31 eV per atom
V = 110.54 Å³ per cell
Energy above the most stable polymorph in this dataset = 20.55 kJ/mol of atoms
Fermi-level density of states = 0.9981 states/eV/atom

---

Entry 10:
## Ba2ZrTc (GGA-PBE)

Data for Ba2ZrTc after structural relaxation.

a b c (Å): 5.4195 5.4195 5.4195
angles (deg): 119.74 119.74 90.44
Closest atoms and distances in Å follow each position.
Atoms (fractional coordinates):
1 Ba 0.0000 0.0000 0.0000  4 Zr 3.32, 4 Ba 3.32
2 Ba 0.2500 0.7500 0.5000  4 Ba 3.32, 4 Tc 3.32
3 Tc 0.5000 0.5000 0.0000  4 Zr 3.32, 4 Ba 3.32
4 Zr 0.7500 0.2500 0.5000  4 Ba 3.32, 4 Tc 3.32

## Properties
Space-group type = I-4m2 (119)
Final energy = -4.75 eV/atom
Crystal system = tetragonal
ΔH_f (0 K) = 0.94 eV per atom
V = 112.99 Å³ per cell
Energy above the most stable polymorph in this dataset = 57.76 kJ/mol of atoms
Fermi-level density of states = 1.1922 states/eV/atom

---

Entry 11:
## Ba2ZrTc (GGA-PBE)

Data for Ba2ZrTc after structural relaxation.

a b c (Å): 3.3906 5.4736 6.2760
angles (deg): 90.00 90.00 90.00
Closest atoms and distances in Å follow each position.
Atoms (fractional coordinates):
1 Ba 0.0000 0.0000 0.0054  4 Ba 3.07-3.39
2 Ba 0.0000 0.0000 0.4946  4 Ba 3.07-3.39
3 Tc 0.5000 0.5000 0.2500  2 Zr 3.14, 2 Tc 3.39
4 Zr 0.5000 0.5000 0.7500  2 Tc 3.14, 2 Zr 3.39

## Properties
Space-group type = Pmmm (47)
Final energy = -4.61 eV/atom
Crystal system = orthorhombic
ΔH_f (0 K) = 1.08 eV per atom
V = 116.47 Å³ per cell
Energy above the most stable polymorph in this dataset = 71.29 kJ/mol of atoms
Fermi-level density of states = 1.2130 states/eV/atom

---

Entry 12:
## BaZrTc2 (GGA-PBE)

Data for BaZrTc2 after structural relaxation.

a b c (Å): 5.5537 5.5537 3.1025
angles (deg): 76.45 76.45 110.40
Closest atoms and distances in Å follow each position.
Atoms (fractional coordinates):
1 Ba 0.0000 0.5000 0.5000  4 Tc 2.85, 2 Ba 3.10, 2 Zr 3.17
2 Tc 0.0000 0.0000 0.0000  2 Ba 2.85, 2 Zr 2.85, 4 Tc 3.10-3.17
3 Tc 0.5000 0.5000 0.0000  2 Zr 2.85, 2 Ba 2.85, 4 Tc 3.10-3.17
4 Zr 0.5000 0.0000 0.5000  4 Tc 2.85, 2 Zr 3.10, 2 Ba 3.17

## Properties
Space-group type = C2/m (12)
Final energy = -6.87 eV/atom
Crystal system = monoclinic
ΔH_f (0 K) = 0.93 eV per atom
V = 81.79 Å³ per cell
Energy above the most stable polymorph in this dataset = 58.93 kJ/mol of atoms
Fermi-level density of states = 1.1548 states/eV/atom

---

Entry 13:
## BaZrTc2 (GGA-PBE)

Data for BaZrTc2 after structural relaxation.

a b c (Å): 3.1816 3.1816 9.0979
angles (deg): 90.00 90.00 90.00
Closest atoms and distances in Å follow each position.
Atoms (fractional coordinates):
1 Ba 0.5000 0.5000 0.7891  4 Ba 3.18, 4 Tc 3.44
2 Tc 0.0000 0.0000 0.0752  4 Tc 2.58
3 Tc 0.5000 0.5000 0.2147  4 Tc 2.58
4 Zr 0.0000 0.0000 0.4210  5 Tc 2.93-3.15, 4 Zr 3.18

## Properties
Space-group type = P4mm (99)
Final energy = -7.41 eV/atom
Crystal system = tetragonal
ΔH_f (0 K) = 0.39 eV per atom
V = 92.09 Å³ per cell
Energy above the most stable polymorph in this dataset = 7.11 kJ/mol of atoms
Fermi-level density of states = 1.3777 states/eV/atom

---

Entry 14:
## BaZrTc2 (GGA-PBE)

Data for BaZrTc2 after structural relaxation.

a b c (Å): 5.8542 5.8542 5.8542
angles (deg): 139.69 139.69 58.32
Closest atoms and distances in Å follow each position.
Atoms (fractional coordinates):
1 Ba 0.7500 0.2500 0.5000  4 Tc 2.85
2 Tc 0.0000 0.0000 0.0000  4 Zr 2.85
3 Tc 0.2500 0.7500 0.5000  4 Ba 2.85
4 Zr 0.5000 0.5000 0.0000  4 Tc 2.85

## Properties
Space-group type = I-4m2 (119)
Final energy = -6.80 eV/atom
Crystal system = tetragonal
ΔH_f (0 K) = 1.00 eV per atom
V = 83.19 Å³ per cell
Energy above the most stable polymorph in this dataset = 66.14 kJ/mol of atoms
Fermi-level density of states = 0.7724 states/eV/atom